Record 1
Compound: Ta4Ga2N
Source: the Alexandria database
Functional: GGA-PBE
Structure: relaxed

Lattice parameters (Å, degrees): 7.2539 9.8992 3.0689 90.00 90.00 90.00
Space group Pbam (No. 55)
Symmetry-distinct sites (fractional):
1 Ta 0.1399 0.1974 0.0000 [4 per cell]
2 Ta 0.1807 0.9199 0.5000 [4 per cell]
3 Ga 0.0613 0.6270 0.5000 [4 per cell]
4 N 0.0000 0.0000 0.0000 [2 per cell]

## Properties
Uncorrected formation energy in eV/atom: -0.469
Relative energy among the computed polymorphs in eV/atom: 0.000
Electronic total energy in eV per cell: -130.1
Total magnetization in Bohr magnetons per cell: 0.00

Record 2
Compound: TaGaN3
Source: the Alexandria database
Functional: GGA-PBE
Structure: relaxed

Lattice parameters (Å, degrees): 4.0914 4.0914 4.0914 90.00 90.00 90.00
Space group Pm-3m (No. 221)
Symmetry-distinct sites (fractional):
1 Ta 0.0000 0.0000 0.0000 [1 per cell]
2 Ga 0.5000 0.5000 0.5000 [1 per cell]
3 N 0.0000 0.0000 0.5000 [3 per cell]

## Properties
Uncorrected formation energy in eV/atom: 0.469
Electronic total energy in eV per cell: -37.5
Total magnetization in Bohr magnetons per cell: 2.44

Record 3
Compound: TaGaN2
Source: the Alexandria database
Functional: GGA-PBE
Structure: relaxed

Lattice parameters (Å, degrees): 3.0890 3.0890 19.1960 90.00 90.00 120.00
Space group R-3m (No. 166, hexagonal axes)
Symmetry-distinct sites (fractional):
1 Ta 0.0000 0.0000 0.0000 [3 per cell]
2 Ga 0.0000 0.0000 0.5000 [3 per cell]
3 N 0.0000 0.0000 0.3917 [6 per cell]

## Properties
Uncorrected formation energy in eV/atom: -0.568
Electronic total energy in eV per cell: -101.4
Total magnetization in Bohr magnetons per cell: 0.00

Record 4
Compound: Ta2GaN
Source: the Alexandria database
Functional: GGA-PBE
Structure: relaxed

Lattice parameters (Å, degrees): 5.1744 5.1744 10.9490 90.00 90.00 90.00
Space group I-42d (No. 122)
Symmetry-distinct sites (fractional):
1 Ta 0.1425 0.2500 0.1250 [8 per cell]
2 Ga 0.0000 0.0000 0.5000 [4 per cell]
3 N 0.0000 0.0000 0.0000 [4 per cell]

## Properties
Uncorrected formation energy in eV/atom: 0.087
Electronic total energy in eV per cell: -138.8
Total magnetization in Bohr magnetons per cell: 0.00

Record 5
Compound: Ta4Ga2N
Source: the Alexandria database
Functional: GGA-PBE
Structure: relaxed

Lattice parameters (Å, degrees): 4.0727 4.0727 13.9939 90.00 90.00 90.00
Space group I4/mmm (No. 139)
Symmetry-distinct sites (fractional):
1 Ta 0.0000 0.0000 0.1642 [4 per cell]
2 Ta 0.0000 0.5000 0.0000 [4 per cell]
3 Ga 0.0000 0.0000 0.3537 [4 per cell]
4 N 0.0000 0.0000 0.0000 [2 per cell]

## Properties
Uncorrected formation energy in eV/atom: -0.148
Relative energy among the computed polymorphs in eV/atom: 0.322
Electronic total energy in eV per cell: -125.6
Total magnetization in Bohr magnetons per cell: 0.00

Record 6
Compound: Ta3GaN
Source: the Alexandria database
Functional: GGA-PBE
Structure: relaxed

Lattice parameters (Å, degrees): 4.2449 4.2449 4.2449 90.00 90.00 90.00
Space group Pm-3m (No. 221)
Symmetry-distinct sites (fractional):
1 Ta 0.0000 0.0000 0.5000 [3 per cell]
2 Ga 0.5000 0.5000 0.5000 [1 per cell]
3 N 0.0000 0.0000 0.0000 [1 per cell]

## Properties
Uncorrected formation energy in eV/atom: -0.328
Electronic total energy in eV per cell: -48.6
Total magnetization in Bohr magnetons per cell: 0.00

Record 7
Compound: Ta6GaN
Source: the Alexandria database
Functional: GGA-PBE
Structure: relaxed

Lattice parameters (Å, degrees): 5.5939 5.5939 15.1380 90.00 90.00 120.00
Space group R-3 (No. 148, hexagonal axes)
Symmetry-distinct sites (fractional):
1 Ta 0.0226 0.3967 0.4100 [18 per cell]
2 Ga 0.0000 0.0000 0.5000 [3 per cell]
3 N 0.0000 0.0000 0.0000 [3 per cell]

## Properties
Uncorrected formation energy in eV/atom: -0.002
Electronic total energy in eV per cell: -247.5
Total magnetization in Bohr magnetons per cell: 0.00

Record 8
Compound: TaGa3N
Source: the Alexandria database
Functional: GGA-PBE
Structure: relaxed

Lattice parameters (Å, degrees): 5.1293 5.1293 5.1293 90.00 90.00 90.00
Space group Pm-3m (No. 221)
Symmetry-distinct sites (fractional):
1 Ta 0.0000 0.0000 0.0000 [1 per cell]
2 Ga 0.0000 0.0000 0.5000 [3 per cell]
3 N 0.5000 0.5000 0.5000 [1 per cell]

## Properties
Uncorrected formation energy in eV/atom: 1.608
Relative energy among the computed polymorphs in eV/atom: 0.969
Electronic total energy in eV per cell: -21.2
Total magnetization in Bohr magnetons per cell: 2.41

Record 9
Compound: TaGaN2
Source: the Alexandria database
Functional: GGA-PBE
Structure: relaxed

Lattice parameters (Å, degrees): 4.7817 4.7817 9.0618 90.00 90.00 90.00
Space group I-42d (No. 122)
Symmetry-distinct sites (fractional):
1 Ta 0.0000 0.0000 0.0000 [4 per cell]
2 Ga 0.0000 0.0000 0.5000 [4 per cell]
3 N 0.2396 0.2500 0.6250 [8 per cell]

## Properties
Uncorrected formation energy in eV/atom: -0.275
Electronic total energy in eV per cell: -130.5
Total magnetization in Bohr magnetons per cell: 0.00

Record 10
Compound: TaGaN
Source: the Alexandria database
Functional: GGA-PBE
Structure: relaxed

Lattice parameters (Å, degrees): 2.8611 11.7794 5.4040 90.00 90.00 90.00
Space group Amm2 (No. 38)
Symmetry-distinct sites (fractional):
1 Ta 0.0000 0.1929 0.0000 [4 per cell]
2 Ga 0.5000 0.0000 0.3368 [2 per cell]
3 Ga 0.5000 0.0000 0.8231 [2 per cell]
4 N 0.5000 0.2242 0.2796 [4 per cell]

## Properties
Uncorrected formation energy in eV/atom: -0.482
Relative energy among the computed polymorphs in eV/atom: 0.011
Electronic total energy in eV per cell: -98.6
Total magnetization in Bohr magnetons per cell: 0.00

Record 11
Compound: TaGa3N
Source: the Alexandria database
Functional: GGA-PBE
Structure: relaxed

Lattice parameters (Å, degrees): 4.2180 4.2180 4.2180 90.00 90.00 90.00
Space group Pm-3m (No. 221)
Symmetry-distinct sites (fractional):
1 Ta 0.0000 0.0000 0.0000 [1 per cell]
2 Ga 0.0000 0.5000 0.5000 [3 per cell]
3 N 0.5000 0.5000 0.5000 [1 per cell]

## Properties
Uncorrected formation energy in eV/atom: 0.639
Relative energy among the computed polymorphs in eV/atom: 0.000
Electronic total energy in eV per cell: -26.1
Total magnetization in Bohr magnetons per cell: 0.00

Record 12
Compound: Ta2GaN
Source: the Alexandria database
Functional: GGA-PBE
Structure: relaxed

Lattice parameters (Å, degrees): 6.0885 6.0885 6.0885 90.00 90.00 90.00
Space group Fm-3m (No. 225)
Symmetry-distinct sites (fractional):
1 Ta 0.2500 0.2500 0.2500 [8 per cell]
2 Ga 0.0000 0.0000 0.0000 [4 per cell]
3 N 0.0000 0.0000 0.5000 [4 per cell]

## Properties
Uncorrected formation energy in eV/atom: 0.588
Electronic total energy in eV per cell: -130.8
Total magnetization in Bohr magnetons per cell: 0.00

Record 13
Compound: TaGaN
Source: the Alexandria database
Functional: GGA-PBE
Structure: relaxed

Lattice parameters (Å, degrees): 5.4757 2.9177 6.5483 90.00 114.61 90.00
Space group Pm (No. 6)
Symmetry-distinct sites (fractional):
1 Ta 0.0000 0.0000 0.0000 [1 per cell]
2 Ta 0.4006 0.0000 0.8014 [1 per cell]
3 Ga 0.1968 0.5000 0.4006 [1 per cell]
4 Ga 0.6971 0.0000 0.3985 [1 per cell]
5 N 0.2015 0.5000 0.9018 [1 per cell]
6 N 0.7003 0.5000 0.8987 [1 per cell]

## Properties
Uncorrected formation energy in eV/atom: -0.473
Relative energy among the computed polymorphs in eV/atom: 0.019
Electronic total energy in eV per cell: -49.3
Total magnetization in Bohr magnetons per cell: 0.00

Record 14
Compound: Ta2GaN
Source: the Alexandria database
Functional: GGA-PBE
Structure: relaxed

Lattice parameters (Å, degrees): 3.1445 3.1445 20.2506 90.00 90.00 120.00
Space group R-3m (No. 166, hexagonal axes)
Symmetry-distinct sites (fractional):
1 Ta 0.0000 0.0000 0.2244 [6 per cell]
2 Ga 0.0000 0.0000 0.0000 [3 per cell]
3 N 0.0000 0.0000 0.5000 [3 per cell]

## Properties
Uncorrected formation energy in eV/atom: -0.488
Electronic total energy in eV per cell: -111.0
Total magnetization in Bohr magnetons per cell: 0.00

Record 15
Compound: Ta3GaN
Source: the Alexandria database
Functional: GGA-PBE
Structure: relaxed

Lattice parameters (Å, degrees): 4.3580 4.3023 7.9938 90.00 90.00 90.00
Space group Pmma (No. 51)
Symmetry-distinct sites (fractional):
1 Ta 0.2500 0.0000 0.1075 [2 per cell]
2 Ta 0.2500 0.0000 0.6437 [2 per cell]
3 Ta 0.2500 0.5000 0.3744 [2 per cell]
4 Ga 0.2500 0.5000 0.8711 [2 per cell]
5 N 0.2500 0.0000 0.3807 [2 per cell]

## Properties
Uncorrected formation energy in eV/atom: -0.462
Electronic total energy in eV per cell: -98.4
Total magnetization in Bohr magnetons per cell: 0.00

Record 16
Compound: TaGaTeN2
Source: the Alexandria database
Functional: GGA-PBE
Structure: relaxed

Lattice parameters (Å, degrees): 4.0505 4.0505 5.8349 90.00 90.00 90.00
Space group P4/mmm (No. 123)
Symmetry-distinct sites (fractional):
1 Ta 0.0000 0.0000 0.0000 [1 per cell]
2 Ga 0.5000 0.5000 0.5000 [1 per cell]
3 Te 0.0000 0.0000 0.5000 [1 per cell]
4 N 0.0000 0.5000 0.0000 [2 per cell]

## Properties
Uncorrected formation energy in eV/atom: 0.186
Relative energy among the computed polymorphs in eV/atom: 0.000
Electronic total energy in eV per cell: -33.7
Total magnetization in Bohr magnetons per cell: 0.46

Record 17
Compound: TaGaTeN2
Source: the Alexandria database
Functional: GGA-PBE
Structure: relaxed

Lattice parameters (Å, degrees): 3.9696 3.9696 5.4486 90.00 90.00 90.00
Space group P4/mmm (No. 123)
Symmetry-distinct sites (fractional):
1 Ta 0.0000 0.0000 0.0000 [1 per cell]
2 Ga 0.5000 0.5000 0.5000 [1 per cell]
3 Te 0.5000 0.5000 0.0000 [1 per cell]
4 N 0.0000 0.5000 0.5000 [2 per cell]

## Properties
Uncorrected formation energy in eV/atom: 1.515
Relative energy among the computed polymorphs in eV/atom: 1.329
Electronic total energy in eV per cell: -27.1
Total magnetization in Bohr magnetons per cell: 0.29

Record 18
Compound: TaGaTe2N
Source: the Alexandria database
Functional: GGA-PBE
Structure: relaxed

Lattice parameters (Å, degrees): 5.6309 5.6309 3.9094 90.00 90.00 90.00
Space group P4/mmm (No. 123)
Symmetry-distinct sites (fractional):
1 Ta 0.0000 0.0000 0.0000 [1 per cell]
2 Ga 0.5000 0.5000 0.5000 [1 per cell]
3 Te 0.0000 0.5000 0.0000 [2 per cell]
4 N 0.0000 0.0000 0.5000 [1 per cell]

## Properties
Uncorrected formation energy in eV/atom: 0.026
Relative energy among the computed polymorphs in eV/atom: 0.000
Electronic total energy in eV per cell: -29.4
Total magnetization in Bohr magnetons per cell: 0.00

Record 19
Compound: TaGaTe2N
Source: the Alexandria database
Functional: GGA-PBE
Structure: relaxed

Lattice parameters (Å, degrees): 5.4766 5.4766 3.5148 90.00 90.00 90.00
Space group P4/mmm (No. 123)
Symmetry-distinct sites (fractional):
1 Ta 0.0000 0.0000 0.0000 [1 per cell]
2 Ga 0.5000 0.5000 0.5000 [1 per cell]
3 Te 0.0000 0.5000 0.5000 [2 per cell]
4 N 0.5000 0.5000 0.0000 [1 per cell]

## Properties
Uncorrected formation energy in eV/atom: 0.991
Relative energy among the computed polymorphs in eV/atom: 0.965
Electronic total energy in eV per cell: -24.5
Total magnetization in Bohr magnetons per cell: 0.00

Record 20
Compound: Th2TaGaN5
Source: the Alexandria database
Functional: GGA-PBE
Structure: relaxed

Lattice parameters (Å, degrees): 3.3424 13.9725 10.2398 90.00 90.00 90.00
Space group Cmc2_1 (No. 36)
Symmetry-distinct sites (fractional):
1 Th 0.0000 0.1208 0.0000 [4 per cell]
2 Th 0.0000 0.1325 0.5831 [4 per cell]
3 Ta 0.0000 0.2148 0.2988 [4 per cell]
4 Ga 0.0000 0.4863 0.7712 [4 per cell]
5 N 0.0000 0.0593 0.3404 [4 per cell]
6 N 0.0000 0.2874 0.9404 [4 per cell]
7 N 0.0000 0.2999 0.6615 [4 per cell]
8 N 0.0000 0.3611 0.3026 [4 per cell]
9 N 0.0000 0.4990 0.0791 [4 per cell]

## Properties
Uncorrected formation energy in eV/atom: -1.186
Electronic total energy in eV per cell: -328.1
Total magnetization in Bohr magnetons per cell: 0.00